# 1
Cu2RhAu | SCAN | PBEsol geometry

a b c (Å): 2.7040 2.7040 8.6858
angles (deg): 81.05 81.05 60.00
Last column: magnetic moment on the atom in μB.
Fractional positions:
1 Cu 0.7530 0.7530 0.7412  0.02
2 Cu 0.2470 0.2470 0.2589  0.02
3 Au 0.0000 0.0000 0.0000  0.00
4 Rh 0.5000 0.5000 0.5000  0.34

Output
- DFT formation energy (meV per atom) = 50

***

# 2
LiLa2Hg | SCAN | PBEsol geometry

a b c (Å): 3.5886 3.5886 10.8634
angles (deg): 80.49 80.49 60.00
Fractional positions:
1 Hg 0.0000 0.0000 0.0000
2 La 0.2551 0.2551 0.2348
3 La 0.7449 0.7449 0.7652
4 Li 0.5000 0.5000 0.5000

Output
- DFT formation energy (meV per atom) = -132

***

# 3
SnSb2AuI | SCAN | PBEsol geometry

a b c (Å): 5.2994 5.2994 5.5402
angles (deg): 90.00 90.00 90.00
Last column: magnetic moment on the atom in μB.
Fractional positions:
1 Sn 0.5000 0.5000 0.5000  -0.01
2 I 0.0000 0.0000 0.5000  0.06
3 Sb 0.0000 0.5000 0.0000  0.11
4 Sb 0.5000 0.0000 0.0000  0.11
5 Au 0.0000 0.0000 0.0000  0.02

Output
- formation energy without anion corrections (eV per atom) = 0.53

***

# 4
NbSb2H | SCAN | PBEsol geometry

a b c (Å): 5.6285 5.6285 5.6285
angles (deg): 109.14 109.64 109.64
Fractional positions:
1 Nb 0.5000 0.7500 0.2500
2 Nb 0.0000 0.0000 0.0000
3 Sb 0.9155 0.5405 0.1250
4 Sb 0.5845 0.3750 0.4595
5 Sb 0.0845 0.2095 0.6250
6 Sb 0.4155 0.8750 0.7905
7 H 0.5000 0.2500 0.7500
8 H 0.0000 0.5000 0.5000

Output
- DFT total energy (eV per atom) = -27.39

***

# 5
Y3BiTe | SCAN | PBEsol geometry

a b c (Å): 5.5581 5.5581 5.5581
angles (deg): 90.00 90.00 90.00
Fractional positions:
1 Y 0.0000 0.5000 0.0000
2 Y 0.0000 0.0000 0.5000
3 Y 0.5000 0.0000 0.0000
4 Te 0.0000 0.0000 0.0000
5 Bi 0.5000 0.5000 0.5000

Output
- formation energy without anion corrections (eV per atom) = -0.29

***

# 6
Ti3N2O3 | SCAN | PBEsol geometry

a b c (Å): 3.8229 5.1923 9.7956
angles (deg): 90.49 90.00 111.60
Fractional positions:
1 O 0.7542 0.5083 0.2511
2 O 0.0424 0.0849 0.3770
3 O 0.9546 0.9092 0.8808
4 O 0.0474 0.0949 0.1185
5 O 0.6840 0.3681 0.5700
6 O 0.9525 0.9049 0.6159
7 Ti 0.8591 0.7182 0.0560
8 Ti 0.2014 0.4027 0.2487
9 Ti 0.1459 0.2918 0.5650
10 Ti 0.8648 0.7295 0.4399
11 Ti 0.1475 0.2951 0.9405
12 Ti 0.7991 0.5981 0.7570
13 N 0.3114 0.6228 0.0785
14 N 0.3058 0.6116 0.4285
15 N 0.6930 0.3860 0.9273
16 N 0.2370 0.4740 0.7453

Output
- formation energy without anion corrections (eV per atom) = -2.61
- ΔE to the lowest computed polymorph (meV per atom) = 0

***

# 7
SmAlGe | SCAN | PBEsol geometry

a b c (Å): 4.1610 4.1610 7.8626
angles (deg): 105.34 105.34 90.00
Fractional positions:
1 Sm 0.1652 0.6652 0.3304
2 Sm 0.9152 0.9152 0.8304
3 Al 0.5809 0.0809 0.1619
4 Al 0.3309 0.3309 0.6619
5 Ge 0.7463 0.2463 0.4926
6 Ge 0.4963 0.4963 0.9926

Output
- DFT formation energy (meV per atom) = -740

***

# 8
AsP2PbCl | SCAN | PBEsol geometry

a b c (Å): 4.7622 4.7622 4.9312
angles (deg): 90.00 90.00 90.00
Fractional positions:
1 P 0.5000 0.0000 0.0000
2 P 0.0000 0.5000 0.0000
3 Pb 0.5000 0.5000 0.5000
4 Cl 0.0000 0.0000 0.5000
5 As 0.0000 0.0000 0.0000

Output
- formation energy without anion corrections (eV per atom) = 0.42

***

# 9
CdIN2 | SCAN | PBEsol geometry

a b c (Å): 3.6320 3.6320 6.5442
angles (deg): 73.89 73.89 60.00
Fractional positions:
1 I 0.5000 0.5000 0.5000
2 N 0.8888 0.8888 0.3335
3 N 0.1112 0.1112 0.6665
4 Cd 0.0000 0.0000 0.0000

Output
- formation energy without anion corrections (eV per atom) = 1.47
- ΔE to the lowest computed polymorph (meV per atom) = 0

***

# 10
TiTlReI2 | SCAN | PBEsol geometry

a b c (Å): 4.7211 5.5275 5.5275
angles (deg): 90.00 90.00 90.00
Last column: magnetic moment on the atom in μB.
Fractional positions:
1 I 0.0000 0.5000 0.0000  0.06
2 I 0.0000 0.0000 0.5000  0.06
3 Ti 0.0000 0.0000 0.0000  -0.61
4 Tl 0.5000 0.5000 0.5000  0.00
5 Re 0.5000 0.0000 0.0000  1.98

Output
- formation energy without anion corrections (eV per atom) = 0.73

***

# 11
HgPb2 | SCAN | PBEsol geometry

a b c (Å): 3.4685 5.5472 8.7426
angles (deg): 90.00 101.44 90.00
Fractional positions:
1 Hg 0.7751 0.7500 0.5503
2 Hg 0.2249 0.2500 0.4497
3 Pb 0.8821 0.2500 0.7641
4 Pb 0.5592 0.2500 0.1184
5 Pb 0.1179 0.7500 0.2359
6 Pb 0.4408 0.7500 0.8816

Output
- DFT formation energy (meV per atom) = 34
- ΔE to the lowest computed polymorph (meV per atom) = 14

***

# 12
Zr2TaTe | SCAN | PBEsol geometry

a b c (Å): 3.2264 4.8633 5.3728
angles (deg): 90.00 92.54 90.00
Fractional positions:
1 Ta 0.5000 0.5000 0.0000
2 Zr 0.7801 0.0000 0.7628
3 Zr 0.2199 0.0000 0.2372
4 Te 0.0000 0.5000 0.5000

Output
- formation energy without anion corrections (eV per atom) = -0.04

***

# 13
Cs3HgP | SCAN | PBEsol geometry

a b c (Å): 6.8145 6.8145 6.8145
angles (deg): 90.00 90.00 90.00
Last column: magnetic moment on the atom in μB.
Fractional positions:
1 Cs 0.0000 0.5000 0.0000  -0.01
2 Cs 0.5000 0.0000 0.0000  -0.01
3 Cs 0.0000 0.0000 0.5000  -0.01
4 Hg 0.5000 0.5000 0.5000  0.00
5 P 0.0000 0.0000 0.0000  -0.27

Output
- DFT formation energy (meV per atom) = -79

***

# 14
IrPdO2F | SCAN | PBEsol geometry

a b c (Å): 3.6215 3.6215 6.0099
angles (deg): 90.00 90.00 90.00
Last column: magnetic moment on the atom in μB.
Fractional positions:
1 Pd 0.5000 0.5000 0.5000  0.92
2 F 0.0000 0.0000 0.5000  0.09
3 O 0.5000 0.0000 0.0000  -0.03
4 O 0.0000 0.5000 0.0000  -0.03
5 Ir 0.0000 0.0000 0.0000  -0.10

Output
- formation energy without anion corrections (eV per atom) = -0.29

***

# 15
CoRh2W | SCAN | PBEsol geometry

a b c (Å): 2.6833 2.6833 7.3483
angles (deg): 90.00 90.00 90.00
Last column: magnetic moment on the atom in μB.
Fractional positions:
1 Rh 0.5000 0.5000 0.2491  0.07
2 Rh 0.0000 0.0000 0.9848  0.68
3 Co 0.5000 0.5000 0.7532  1.55
4 W 0.0000 0.0000 0.5129  -0.10

Output
- DFT formation energy (meV per atom) = 37
- ΔE to the lowest computed polymorph (meV per atom) = 209

***

# 16
CaZr2Br | SCAN | PBEsol geometry

a b c (Å): 3.2729 3.2729 10.4426
angles (deg): 80.98 80.98 60.00
Last column: magnetic moment on the atom in μB.
Fractional positions:
1 Zr 0.7615 0.7615 0.7156  0.23
2 Zr 0.2385 0.2385 0.2844  0.23
3 Br 0.5000 0.5000 0.5000  0.00
4 Ca 0.0000 0.0000 0.0000  0.07

Output
- formation energy without anion corrections (eV per atom) = -0.03
- ΔE to the lowest computed polymorph (meV per atom) = 140

***

# 17
YPdF3 | SCAN | PBEsol geometry

a b c (Å): 4.3287 4.3287 4.3287
angles (deg): 90.00 90.00 90.00
Last column: magnetic moment on the atom in μB.
Fractional positions:
1 F 0.0000 0.5000 0.0000  0.00
2 F 0.0000 0.0000 0.5000  0.00
3 F 0.5000 0.0000 0.0000  0.00
4 Pd 0.5000 0.5000 0.5000  0.17
5 Y 0.0000 0.0000 0.0000  0.00

Output
- formation energy without anion corrections (eV per atom) = -2.82

***

# 18
ScTa2Pb | SCAN | PBEsol geometry

a b c (Å): 4.0802 4.0802 5.5383
angles (deg): 111.61 111.61 90.00
Fractional positions:
1 Pb 0.5000 0.5000 0.0000
2 Ta 0.7500 0.2500 0.5000
3 Ta 0.2500 0.7500 0.5000
4 Sc 0.0000 0.0000 0.0000

Output
- DFT formation energy (meV per atom) = 100

***

# 19
CaAuNO2 | SCAN | PBEsol geometry

a b c (Å): 3.7065 4.2316 4.2316
angles (deg): 90.00 90.00 90.00
Fractional positions:
1 N 0.5000 0.0000 0.0000
2 Au 0.0000 0.0000 0.0000
3 Ca 0.5000 0.5000 0.5000
4 O 0.0000 0.5000 0.0000
5 O 0.0000 0.0000 0.5000

Output
- formation energy without anion corrections (eV per atom) = -0.37

***

# 20
ReRu2Cl2 | SCAN | PBEsol geometry

a b c (Å): 4.6744 4.8376 4.6744
angles (deg): 118.89 90.00 118.89
Last column: magnetic moment on the atom in μB.
Fractional positions:
1 Cl 0.3156 0.6313 0.3156  0.00
2 Cl 0.6844 0.3687 0.6844  0.00
3 Re 0.0000 0.0000 0.0000  0.84
4 Ru 0.2500 0.5000 0.7500  0.12
5 Ru 0.7500 0.5000 0.2500  0.12

Output
- formation energy without anion corrections (eV per atom) = 1.24

***

Number 1: spin magnetization 0.09 μB/atom. Number 2: spin magnetization 0.00 μB/atom. Number 3: spin magnetization 0.12 μB/atom. Number 4: spin magnetization 0.00 μB/atom. Number 5: spin magnetization 0.00 μB/atom. Number 6: spin magnetization 0.00 μB/atom. Number 7: spin magnetization 0.00 μB/atom. Number 8: spin magnetization 0.00 μB/atom. Number 9: spin magnetization 0.00 μB/atom. Number 10: spin magnetization 0.41 μB/atom. Number 11: spin magnetization 0.00 μB/atom. Number 12: spin magnetization 0.00 μB/atom. Number 13: spin magnetization 0.14 μB/atom. Number 14: spin magnetization 0.17 μB/atom. Number 15: spin magnetization 0.53 μB/atom. Number 16: spin magnetization 0.22 μB/atom. Number 17: spin magnetization 0.03 μB/atom. Number 18: spin magnetization 0.00 μB/atom. Number 19: spin magnetization 0.00 μB/atom. Number 20: spin magnetization 0.27 μB/atom.